Entry 1:
Density functional theory data (PBE) for an optimized crystal structure of HfReSb.

Summary:
ΔE_f (raw): 0.11 eV/atom
ρ: 11.8 Mg/m³
D(E_F): 2.026 states/eV/f.u.
symmetry: R-3m (166)
size of the total moment: 0.00 μB/f.u.
raw total energy: -8.732 eV per atom

a = 4.2341 Å, b = 4.2341 Å, c = 9.1424 Å
α = 76.61°, β = 76.61°, γ = 60.00°
Last column: nearest neighbours and their distance in Å.
Sites, in units of the cell vectors:
Sb 0.7042 0.7042 0.8874  3 Hf 2.96, 3 Sb 3.15
Sb 0.2958 0.2958 0.1126  3 Hf 2.96, 3 Sb 3.15
Re 0.8438 0.8438 0.4686  3 Re 2.51
Re 0.1562 0.1562 0.5314  3 Re 2.51
Hf 0.5657 0.5657 0.3030  6 Re 2.85-3.17, 3 Sb 2.96
Hf 0.4343 0.4343 0.6970  6 Re 2.85-3.17, 3 Sb 2.96

Entry 2:
Density functional theory data (PBE) for an optimized crystal structure of HfReTcSb.

Summary:
ΔE_f (raw): -0.12 eV/atom
ρ: 14.1 Mg/m³
D(E_F): 2.782 states/eV/f.u.
symmetry: F-43m (216)
size of the total moment: 0.00 μB/f.u.
raw total energy: -9.344 eV per atom

a = 4.5994 Å, b = 4.5994 Å, c = 4.5994 Å
α = 60.00°, β = 60.00°, γ = 60.00°
Last column: nearest neighbours and their distance in Å.
Sites, in units of the cell vectors:
Re 0.7500 0.7500 0.7500  4 Hf 2.82, 4 Sb 2.82
Sb 0.0000 0.0000 0.0000  4 Tc 2.82, 4 Re 2.82
Hf 0.5000 0.5000 0.5000  4 Re 2.82, 4 Tc 2.82
Tc 0.2500 0.2500 0.2500  4 Hf 2.82, 4 Sb 2.82

Entry 3:
Density functional theory data (PBE) for an optimized crystal structure of HfReSbTe2.

Summary:
ΔE_f (raw): 0.98 eV/atom
ρ: 8.7 Mg/m³
D(E_F): 8.104 states/eV/f.u.
symmetry: P4/mmm (123)
size of the total moment: 0.84 μB/f.u.
energy above the most stable polymorph in this dataset: 0.0 kJ per mole of atoms
raw total energy: -5.582 eV per atom

a = 5.2850 Å, b = 5.2850 Å, c = 5.0536 Å
α = 90.00°, β = 90.00°, γ = 90.00°
Last column: nearest neighbours and their distance in Å.
Sites, in units of the cell vectors:
Hf 0.5000 0.5000 0.5000  8 Te 3.66, 4 Sb 3.74
Te 0.0000 0.5000 0.0000  2 Re 2.64
Te 0.5000 0.0000 0.0000  2 Re 2.64
Sb 0.0000 0.0000 0.5000  2 Re 2.53
Re 0.0000 0.0000 0.0000  2 Sb 2.53, 4 Te 2.64

Entry 4:
Density functional theory data (PBE) for an optimized crystal structure of HfTlReSb2.

Summary:
ΔE_f (raw): 1.44 eV/atom
ρ: 8.1 Mg/m³
D(E_F): 3.365 states/eV/f.u.
symmetry: P4/mmm (123)
size of the total moment: 4.77 μB/f.u.
raw total energy: -5.164 eV per atom

a = 5.4660 Å, b = 5.6003 Å, c = 5.4660 Å
α = 90.00°, β = 90.00°, γ = 90.00°
Last column: nearest neighbours and their distance in Å.
Sites, in units of the cell vectors:
Sb 0.5000 0.0000 0.0000  2 Hf 2.73
Sb 0.0000 0.0000 0.5000  2 Hf 2.73
Tl 0.0000 0.5000 0.0000  2 Hf 2.80
Hf 0.0000 0.0000 0.0000  4 Sb 2.73, 2 Tl 2.80
Re 0.5000 0.5000 0.5000  4 Tl 3.87, 8 Sb 3.91

Entry 5:
Density functional theory data (PBE) for an optimized crystal structure of Hf2ReSbW.

Summary:
ΔE_f (raw): 0.82 eV/atom
ρ: 11.6 Mg/m³
D(E_F): 2.733 states/eV/f.u.
symmetry: P4/mmm (123)
size of the total moment: 0.00 μB/f.u.
raw total energy: -9.065 eV per atom

a = 5.0601 Å, b = 4.7422 Å, c = 5.0601 Å
α = 90.00°, β = 90.00°, γ = 90.00°
Last column: nearest neighbours and their distance in Å.
Sites, in units of the cell vectors:
Re 0.0000 0.0000 0.0000  2 W 2.37, 4 Hf 2.53
Hf 0.5000 0.0000 0.0000  2 Re 2.53
Hf 0.0000 0.0000 0.5000  2 Re 2.53
W 0.0000 0.5000 0.0000  2 Re 2.37
Sb 0.5000 0.5000 0.5000  8 Hf 3.47, 4 W 3.58

Entry 6:
Density functional theory data (PBE) for an optimized crystal structure of HfSc3Re.

Summary:
ρ: 6.7 Mg/m³
D(E_F): 7.127 states/eV/f.u.
symmetry: Pm-3m (221)
size of the total moment: 2.69 μB/f.u.
energy above the most stable polymorph in this dataset: 103.4 kJ per mole of atoms
raw total energy: -6.679 eV per atom

a = 4.9825 Å, b = 4.9825 Å, c = 4.9825 Å
α = 90.00°, β = 90.00°, γ = 90.00°
Last column: nearest neighbours and their distance in Å.
Sites, in units of the cell vectors:
Sc 0.0000 0.5000 0.0000  2 Hf 2.49
Sc 0.5000 0.0000 0.0000  2 Hf 2.49
Sc 0.0000 0.0000 0.5000  2 Hf 2.49
Hf 0.0000 0.0000 0.0000  6 Sc 2.49
Re 0.5000 0.5000 0.5000  12 Sc 3.52

Entry 7:
Density functional theory data (PBE) for an optimized crystal structure of HfSc2Re.

Summary:
ρ: 9.1 Mg/m³
D(E_F): 4.618 states/eV/f.u.
symmetry: I-42d (122)
size of the total moment: 0.00 μB/f.u.
energy above the most stable polymorph in this dataset: 22.9 kJ per mole of atoms
raw total energy: -8.331 eV per atom

a = 4.0477 Å, b = 4.0477 Å, c = 10.5248 Å
α = 78.91°, β = 78.91°, γ = 90.00°
Last column: nearest neighbours and their distance in Å.
Sites, in units of the cell vectors:
Re 0.7500 0.2500 0.5000  4 Hf 2.86, 4 Sc 2.89
Re 0.0000 0.0000 0.0000  4 Hf 2.86, 4 Sc 2.89
Sc 0.3750 0.3597 0.7500  4 Sc 2.78-2.95, 2 Re 2.89, 2 Hf 2.93
Sc 0.1097 0.6250 0.2500  4 Sc 2.78-2.95, 2 Re 2.89, 2 Hf 2.93
Sc 0.8750 0.8903 0.7500  4 Sc 2.78-2.95, 2 Re 2.89, 2 Hf 2.93
Sc 0.6403 0.1250 0.2500  4 Sc 2.78-2.95, 2 Re 2.89, 2 Hf 2.93
Hf 0.5000 0.5000 0.0000  4 Re 2.86, 4 Sc 2.93
Hf 0.2500 0.7500 0.5000  4 Re 2.86, 4 Sc 2.93

Entry 8:
Density functional theory data (PBE) for an optimized crystal structure of Hf2ScRe2.

Summary:
ρ: 13.3 Mg/m³
D(E_F): 6.040 states/eV/f.u.
symmetry: P4/mbm (127)
size of the total moment: 0.00 μB/f.u.
raw total energy: -10.241 eV per atom

a = 7.6333 Å, b = 7.6333 Å, c = 3.3258 Å
α = 90.00°, β = 90.00°, γ = 90.00°
Last column: nearest neighbours and their distance in Å.
Sites, in units of the cell vectors:
Hf 0.3508 0.1492 0.5000  6 Re 2.76-2.81
Hf 0.8508 0.3508 0.5000  6 Re 2.76-2.81
Hf 0.6492 0.8508 0.5000  6 Re 2.76-2.81
Hf 0.1492 0.6492 0.5000  6 Re 2.76-2.81
Re 0.8529 0.6471 0.0000  6 Hf 2.76-2.81, 2 Sc 2.92
Re 0.6471 0.1471 0.0000  6 Hf 2.76-2.81, 2 Sc 2.92
Re 0.3529 0.8529 0.0000  6 Hf 2.76-2.81, 2 Sc 2.92
Re 0.1471 0.3529 0.0000  6 Hf 2.76-2.81, 2 Sc 2.92
Sc 0.0000 0.0000 0.0000  4 Re 2.92
Sc 0.5000 0.5000 0.0000  4 Re 2.92

Entry 9:
Density functional theory data (PBE) for an optimized crystal structure of HfSc2Re.

Summary:
ρ: 9.7 Mg/m³
D(E_F): 7.339 states/eV/f.u.
symmetry: Fm-3m (225)
size of the total moment: 0.67 μB/f.u.
energy above the most stable polymorph in this dataset: 0.0 kJ per mole of atoms
raw total energy: -8.569 eV per atom

a = 4.7948 Å, b = 4.7948 Å, c = 4.7948 Å
α = 60.00°, β = 60.00°, γ = 60.00°
Last column: nearest neighbours and their distance in Å.
Sites, in units of the cell vectors:
Sc 0.7500 0.7500 0.7500  4 Hf 2.94, 4 Re 2.94
Sc 0.2500 0.2500 0.2500  4 Hf 2.94, 4 Re 2.94
Hf 0.0000 0.0000 0.0000  8 Sc 2.94
Re 0.5000 0.5000 0.5000  8 Sc 2.94

Entry 10:
Density functional theory data (PBE) for an optimized crystal structure of HfSc2Re.

Summary:
ρ: 9.3 Mg/m³
D(E_F): 4.153 states/eV/f.u.
symmetry: R-3m (166)
size of the total moment: 0.21 μB/f.u.
energy above the most stable polymorph in this dataset: 27.4 kJ per mole of atoms
raw total energy: -8.285 eV per atom

a = 10.5176 Å, b = 10.5176 Å, c = 10.5176 Å
α = 16.41°, β = 16.41°, γ = 16.41°
Last column: nearest neighbours and their distance in Å.
Sites, in units of the cell vectors:
Re 0.0000 0.0000 0.0000  2 Sc 2.59
Sc 0.0831 0.0831 0.0831  1 Re 2.59
Sc 0.9169 0.9169 0.9169  1 Re 2.59
Hf 0.5000 0.5000 0.5000  6 Hf 3.00, 6 Sc 3.13

Entry 11:
Density functional theory data (PBE) for an optimized crystal structure of HfSc3Re.

Summary:
ρ: 6.6 Mg/m³
D(E_F): 6.709 states/eV/f.u.
symmetry: Pm-3m (221)
size of the total moment: 0.46 μB/f.u.
energy above the most stable polymorph in this dataset: 0.0 kJ per mole of atoms
raw total energy: -7.751 eV per atom

a = 5.0080 Å, b = 5.0080 Å, c = 5.0080 Å
α = 90.00°, β = 90.00°, γ = 90.00°
Last column: nearest neighbours and their distance in Å.
Sites, in units of the cell vectors:
Sc 0.5000 0.0000 0.0000  2 Re 2.50
Sc 0.0000 0.0000 0.5000  2 Re 2.50
Sc 0.0000 0.5000 0.0000  2 Re 2.50
Re 0.0000 0.0000 0.0000  6 Sc 2.50
Hf 0.5000 0.5000 0.5000  12 Sc 3.54

Entry 12:
Density functional theory data (PBE) for an optimized crystal structure of HfScRe4.

Summary:
ρ: 15.5 Mg/m³
D(E_F): 7.936 states/eV/f.u.
symmetry: F-43m (216)
size of the total moment: 0.00 μB/f.u.
raw total energy: -11.336 eV per atom

a = 5.2792 Å, b = 5.2792 Å, c = 5.2792 Å
α = 60.00°, β = 60.00°, γ = 60.00°
Last column: nearest neighbours and their distance in Å.
Sites, in units of the cell vectors:
Re 0.6250 0.1249 0.6250  6 Re 2.64
Re 0.6250 0.6250 0.1249  6 Re 2.64
Re 0.6250 0.6250 0.6250  6 Re 2.64
Re 0.1249 0.6250 0.6250  6 Re 2.64
Sc 0.2500 0.2500 0.2500  12 Re 3.10, 4 Hf 3.23
Hf 0.0000 0.0000 0.0000  12 Re 3.10, 4 Sc 3.23

Entry 13:
Density functional theory data (PBE) for an optimized crystal structure of HfScRe2.

Summary:
ρ: 13.3 Mg/m³
D(E_F): 4.446 states/eV/f.u.
symmetry: I-42d (122)
size of the total moment: 0.00 μB/f.u.
raw total energy: -9.668 eV per atom

a = 7.3647 Å, b = 7.3647 Å, c = 5.8895 Å
α = 51.30°, β = 51.30°, γ = 90.00°
Last column: nearest neighbours and their distance in Å.
Sites, in units of the cell vectors:
Sc 0.5000 0.5000 0.0000  4 Re 2.70, 2 Hf 2.75
Sc 0.2500 0.7500 0.5000  4 Re 2.70, 2 Hf 2.75
Re 0.3750 0.3732 0.7500  2 Hf 2.68, 2 Sc 2.70, 2 Re 2.75
Re 0.8750 0.8768 0.7500  2 Hf 2.68, 2 Sc 2.70, 2 Re 2.75
Re 0.1232 0.6250 0.2500  2 Hf 2.68, 2 Sc 2.70, 2 Re 2.75
Re 0.6268 0.1250 0.2500  2 Hf 2.68, 2 Sc 2.70, 2 Re 2.75
Hf 0.0000 0.0000 0.0000  4 Re 2.68, 2 Sc 2.75
Hf 0.7500 0.2500 0.5000  4 Re 2.68, 2 Sc 2.75

Entry 14:
Density functional theory data (PBE) for an optimized crystal structure of HfSc2ReSe.

Summary:
ΔE_f (raw): 0.26 eV/atom
ρ: 8.1 Mg/m³
D(E_F): 5.149 states/eV/f.u.
symmetry: P4/mmm (123)
size of the total moment: 0.00 μB/f.u.
raw total energy: -7.451 eV per atom

a = 4.8745 Å, b = 4.6215 Å, c = 4.8745 Å
α = 90.00°, β = 90.00°, γ = 90.00°
Last column: nearest neighbours and their distance in Å.
Sites, in units of the cell vectors:
Sc 0.5000 0.0000 0.0000  2 Se 2.44
Sc 0.0000 0.0000 0.5000  2 Se 2.44
Hf 0.5000 0.5000 0.5000  8 Sc 3.36, 4 Re 3.45
Se 0.0000 0.0000 0.0000  2 Re 2.31, 4 Sc 2.44
Re 0.0000 0.5000 0.0000  2 Se 2.31

Entry 15:
Density functional theory data (PBE) for an optimized crystal structure of SrHf2ScRe.

Summary:
ρ: 9.1 Mg/m³
D(E_F): 7.628 states/eV/f.u.
symmetry: P4/mmm (123)
size of the total moment: 0.00 μB/f.u.
raw total energy: -6.104 eV per atom

a = 4.9250 Å, b = 5.0699 Å, c = 4.9250 Å
α = 90.00°, β = 90.00°, γ = 90.00°
Last column: nearest neighbours and their distance in Å.
Sites, in units of the cell vectors:
Hf 0.0000 0.0000 0.5000  2 Sc 2.46
Hf 0.5000 0.0000 0.0000  2 Sc 2.46
Sr 0.0000 0.5000 0.0000  2 Sc 2.53
Sc 0.0000 0.0000 0.0000  4 Hf 2.46, 2 Sr 2.53
Re 0.5000 0.5000 0.5000  4 Sr 3.48, 8 Hf 3.53

Entry 16:
Density functional theory data (PBE) for an optimized crystal structure of HfScTaRe.

Summary:
ρ: 13.3 Mg/m³
D(E_F): 4.643 states/eV/f.u.
symmetry: F-43m (216)
size of the total moment: 0.00 μB/f.u.
raw total energy: -10.195 eV per atom

a = 4.7020 Å, b = 4.7020 Å, c = 4.7020 Å
α = 60.00°, β = 60.00°, γ = 60.00°
Last column: nearest neighbours and their distance in Å.
Sites, in units of the cell vectors:
Sc 0.2500 0.2500 0.2500  4 Hf 2.88, 4 Ta 2.88
Ta 0.0000 0.0000 0.0000  4 Re 2.88, 4 Sc 2.88
Re 0.7500 0.7500 0.7500  4 Ta 2.88, 4 Hf 2.88
Hf 0.5000 0.5000 0.5000  4 Re 2.88, 4 Sc 2.88

Entry 17:
Density functional theory data (PBE) for an optimized crystal structure of HfScReTc.

Summary:
ρ: 12.2 Mg/m³
D(E_F): 5.430 states/eV/f.u.
symmetry: F-43m (216)
size of the total moment: 0.00 μB/f.u.
raw total energy: -9.946 eV per atom

a = 4.6077 Å, b = 4.6077 Å, c = 4.6077 Å
α = 60.00°, β = 60.00°, γ = 60.00°
Last column: nearest neighbours and their distance in Å.
Sites, in units of the cell vectors:
Hf 0.5000 0.5000 0.5000  4 Tc 2.82, 4 Re 2.82
Tc 0.2500 0.2500 0.2500  4 Sc 2.82, 4 Hf 2.82
Sc 0.0000 0.0000 0.0000  4 Re 2.82, 4 Tc 2.82
Re 0.7500 0.7500 0.7500  4 Hf 2.82, 4 Sc 2.82

Entry 18:
Density functional theory data (PBE) for an optimized crystal structure of HfScZnRe.

Summary:
ρ: 11.1 Mg/m³
D(E_F): 2.791 states/eV/f.u.
symmetry: F-43m (216)
size of the total moment: 0.00 μB/f.u.
raw total energy: -7.759 eV per atom

a = 4.6522 Å, b = 4.6522 Å, c = 4.6522 Å
α = 60.00°, β = 60.00°, γ = 60.00°
Last column: nearest neighbours and their distance in Å.
Sites, in units of the cell vectors:
Re 0.5000 0.5000 0.5000  4 Hf 2.85, 4 Sc 2.85
Zn 0.0000 0.0000 0.0000  4 Hf 2.85, 4 Sc 2.85
Sc 0.2500 0.2500 0.2500  4 Re 2.85, 4 Zn 2.85
Hf 0.7500 0.7500 0.7500  4 Zn 2.85, 4 Re 2.85

Entry 19:
Density functional theory data (PBE) for an optimized crystal structure of Hf2ZrScRe.

Summary:
ρ: 8.9 Mg/m³
D(E_F): 5.543 states/eV/f.u.
symmetry: P4/mmm (123)
size of the total moment: 0.00 μB/f.u.
energy above the most stable polymorph in this dataset: 0.0 kJ per mole of atoms
raw total energy: -8.923 eV per atom

a = 5.0299 Å, b = 4.9864 Å, c = 5.0299 Å
α = 90.00°, β = 90.00°, γ = 90.00°
Last column: nearest neighbours and their distance in Å.
Sites, in units of the cell vectors:
Re 0.0000 0.0000 0.0000  2 Sc 2.49, 4 Hf 2.51
Hf 0.5000 0.0000 0.0000  2 Re 2.51
Hf 0.0000 0.0000 0.5000  2 Re 2.51
Sc 0.0000 0.5000 0.0000  2 Re 2.49
Zr 0.5000 0.5000 0.5000  8 Hf 3.54, 4 Sc 3.56

Entry 20:
Density functional theory data (PBE) for an optimized crystal structure of Hf2ZrScRe.

Summary:
ρ: 10.3 Mg/m³
D(E_F): 5.459 states/eV/f.u.
symmetry: P4/mmm (123)
size of the total moment: 0.00 μB/f.u.
energy above the most stable polymorph in this dataset: 113.9 kJ per mole of atoms
raw total energy: -7.742 eV per atom

a = 4.8247 Å, b = 4.7245 Å, c = 4.8247 Å
α = 90.00°, β = 90.00°, γ = 90.00°
Last column: nearest neighbours and their distance in Å.
Sites, in units of the cell vectors:
Hf 0.5000 0.0000 0.0000  2 Sc 2.41
Hf 0.0000 0.0000 0.5000  2 Sc 2.41
Zr 0.0000 0.5000 0.0000  2 Sc 2.36
Re 0.5000 0.5000 0.5000  8 Hf 3.38, 4 Zr 3.41
Sc 0.0000 0.0000 0.0000  2 Zr 2.36, 4 Hf 2.41